# 1
Here is a crystal of KBiBPd2 relaxed with PBEsol from Alexandria via LeMat-Bulk. Energies are from meta-GGA SCAN.

Results
- E: -31.207 eV/atom
- Energy of formation from the pure elements: 0.77 eV per atom

Cell: 4.689 5.178 5.178 Å, 90.00 90.00 90.00°
Atoms (fractional coordinates):
Bi 0.000 0.000 0.000
K 0.500 0.500 0.500
Pd 0.000 0.500 0.000
Pd 0.000 0.000 0.500
B 0.500 0.000 0.000


# 2
Here is a crystal of BeH8Cl2O4 relaxed with PBEsol from Alexandria via LeMat-Bulk. Energies are from meta-GGA SCAN.

Results
- E: -6.122 eV/atom

Cell: 6.585 7.825 12.916 Å, 90.00 90.00 104.70°
Atoms (fractional coordinates):
Cl 0.240 0.982 0.710
Cl 0.760 0.018 0.290
H 0.271 0.920 0.386
H 0.271 0.420 0.114
H 0.237 0.133 0.586
H 0.137 0.424 0.352
O 0.653 0.456 0.868
H 0.613 0.419 0.342
O 0.156 0.304 0.335
H 0.729 0.580 0.886
H 0.237 0.633 0.914
H 0.511 0.458 0.839
H 0.763 0.867 0.414
Cl 0.760 0.518 0.210
H 0.863 0.076 0.852
H 0.613 0.919 0.158
Cl 0.836 0.336 0.577
O 0.844 0.696 0.665
H 0.357 0.632 0.537
H 0.489 0.042 0.339
O 0.347 0.044 0.368
O 0.212 0.706 0.975
H 0.863 0.576 0.648
O 0.844 0.196 0.835
O 0.788 0.794 0.475
Be 0.688 0.272 0.910
H 0.387 0.581 0.658
H 0.909 0.242 0.043
O 0.463 0.626 0.592
O 0.788 0.294 0.025
Cl 0.240 0.482 0.790
Be 0.312 0.728 0.090
H 0.981 0.778 0.686
Cl 0.164 0.664 0.423
H 0.357 0.132 0.963
H 0.137 0.924 0.148
H 0.643 0.868 0.037
H 0.981 0.278 0.814
Be 0.688 0.772 0.590
H 0.643 0.368 0.463
H 0.763 0.367 0.086
H 0.091 0.758 0.957
H 0.909 0.742 0.457
H 0.019 0.722 0.186
H 0.489 0.542 0.161
H 0.019 0.222 0.314
O 0.653 0.956 0.632
O 0.212 0.206 0.525
Cl 0.836 0.836 0.923
H 0.387 0.081 0.842
O 0.156 0.804 0.165
Cl 0.164 0.164 0.077
H 0.511 0.958 0.661
O 0.347 0.544 0.132
Be 0.312 0.228 0.410
H 0.729 0.080 0.614
H 0.091 0.258 0.543
O 0.463 0.126 0.908
O 0.537 0.374 0.408
O 0.537 0.874 0.092


# 3
Here is a crystal of HgH2Pb relaxed with PBEsol from Alexandria via LeMat-Bulk. Energies are from meta-GGA SCAN.

Results
- E: -37.226 eV/atom

Cell: 4.569 4.569 7.304 Å, 108.23 108.23 90.00°
Atoms (fractional coordinates):
Hg 0.500 0.500 0.000
Hg 0.750 0.250 0.500
Pb 0.250 0.750 0.500
Pb 0.000 0.000 0.000
H 0.258 0.875 0.250
H 0.125 0.008 0.750
H 0.625 0.742 0.750
H 0.992 0.375 0.250


# 4
Here is a crystal of LiYFe2 relaxed with PBEsol from Alexandria via LeMat-Bulk. Energies are from meta-GGA SCAN.

Results
- E: -16.389 eV/atom
- Energy of formation from the pure elements: 0.23 eV per atom

Cell: 3.094 3.094 7.088 Å, 90.00 90.00 90.00°
Atoms (fractional coordinates):
Li 0.000 0.000 0.566
Fe 0.500 0.500 0.794
Fe 0.000 0.000 0.936
Y 0.500 0.500 0.204


# 5
Here is a crystal of Y3SiW relaxed with PBEsol from Alexandria via LeMat-Bulk. Energies are from meta-GGA SCAN.

Results
- E: -31.847 eV/atom
- Raw formation energy: 0.7999 eV per atom

Cell: 5.239 5.239 5.239 Å, 90.00 90.00 90.00°
Atoms (fractional coordinates):
Y 0.500 0.000 0.000
Si 0.000 0.000 0.000
W 0.500 0.500 0.500
Y 0.000 0.000 0.500
Y 0.000 0.500 0.000


# 6
Here is a crystal of LiMg2Cd relaxed with PBEsol from Alexandria via LeMat-Bulk. Energies are from meta-GGA SCAN.

Results
- E: -10.867 eV/atom
- Energy of formation from the pure elements: -0.18 eV per atom

Cell: 3.539 4.704 5.576 Å, 115.57 108.51 90.00°
Atoms (fractional coordinates):
Cd 0.512 0.512 0.023
Mg 0.991 0.992 0.983
Li 0.240 0.740 0.479
Mg 0.757 0.256 0.515